Tb2CoCu3Ge4 | Alexandria via LeMat-Bulk | PBE-GGA | relaxed; energy relative to the elements = -4.8 eV/f.u.; calculated total energy = -5.19 eV per atom; symmetry = P-4m2 (115)
1.0
-2.793 2.932 -0.525
-0.527 0.223 4.043
7.285 7.040 0.562
Cu Tb Ge Co
3 2 4 1
Direct
0.500 0.000 0.862
0.000 0.500 0.138
0.000 0.000 0.500
0.000 0.500 0.742
0.500 0.000 0.258
0.000 0.500 0.374
0.000 0.000 0.000
0.500 0.500 0.000
0.500 0.000 0.626
0.500 0.500 0.500

TmCoCuGe2 | Alexandria via LeMat-Bulk | PBE-GGA | relaxed; energy relative to the elements = -2.4 eV/f.u.; calculated total energy = -5.46 eV per atom; symmetry = I-4m2 (119)
1.0
-1.457 -3.406 -1.575
3.282 -0.337 -2.307
1.355 -0.768 5.553
Ge Tm Cu Co
2 1 1 1
Direct
0.624 0.624 0.248
0.376 0.376 0.752
0.000 0.000 0.000
0.250 0.750 0.500
0.750 0.250 0.500

Tm2Co3CuGe4 | Alexandria via LeMat-Bulk | PBE-GGA | relaxed; energy relative to the elements = -5.2 eV/f.u.; calculated total energy = -5.80 eV per atom; symmetry = P-4m2 (115)
1.0
4.029 0.000 0.000
0.000 4.029 0.000
0.000 0.000 9.802
Cu Ge Co Tm
1 4 3 2
Direct
0.500 0.500 0.500
0.000 0.000 0.000
0.500 0.000 0.639
0.500 0.500 0.000
0.000 0.500 0.361
0.500 0.000 0.874
0.000 0.500 0.126
0.000 0.000 0.500
0.500 0.000 0.243
0.000 0.500 0.757

UCoCuGe2 | Alexandria via LeMat-Bulk | PBE-GGA | relaxed; energy relative to the elements = -1.1 eV/f.u.; calculated total energy = -6.56 eV per atom; symmetry = I-4m2 (119)
1.0
5.753 0.023 0.000
2.881 4.980 0.000
-4.317 -2.501 2.865
U Ge Co Cu
1 2 1 1
Direct
0.000 0.000 0.000
0.624 0.624 0.000
0.376 0.376 0.000
0.250 0.750 0.500
0.750 0.250 0.500

U2Co4CuGe3 | Alexandria via LeMat-Bulk | PBE-GGA | relaxed; energy relative to the elements = -2.8 eV/f.u.; calculated total energy = -7.18 eV per atom; symmetry = P-4m2 (115)
1.0
-1.950 1.890 2.605
-3.009 -2.151 -0.692
3.226 -6.903 7.424
Co Ge U Cu
4 3 2 1
Direct
0.000 0.500 0.343
0.500 0.500 0.000
0.000 0.000 0.000
0.500 0.000 0.657
0.000 0.500 0.125
0.000 0.000 0.500
0.500 0.000 0.875
0.000 0.500 0.740
0.500 0.000 0.260
0.500 0.500 0.500

Y2Co3CuGe4 | Alexandria via LeMat-Bulk | PBE-GGA | relaxed; energy relative to the elements = -5.4 eV/f.u.; calculated total energy = -6.22 eV per atom; symmetry = P-4m2 (115)
1.0
-1.654 -3.420 1.483
1.210 -2.027 -3.325
8.443 -2.175 4.398
Ge Y Co Cu
4 2 3 1
Direct
0.000 0.000 0.000
0.500 0.000 0.638
0.500 0.500 0.000
0.000 0.500 0.362
0.000 0.500 0.756
0.500 0.000 0.244
0.500 0.000 0.876
0.000 0.000 0.500
0.000 0.500 0.124
0.500 0.500 0.500

CoCuH2 | Alexandria via LeMat-Bulk | PBE-GGA | relaxed; ΔE to the lowest computed polymorph = 0 meV/atom; calculated total energy = -4.39 eV per atom; symmetry = R-3m (166)
1.0
-0.572 2.452 0.941
-1.275 0.274 2.351
3.488 1.017 3.310
Cu Co H
1 1 2
Direct
0.000 0.000 0.000
0.500 0.500 0.500
0.120 0.120 0.641
0.880 0.880 0.359

Co2CuH | Alexandria via LeMat-Bulk | PBE-GGA | relaxed; ΔE to the lowest computed polymorph = 0 meV/atom; calculated total energy = -5.35 eV per atom; symmetry = R-3m (166)
1.0
2.569 0.000 0.000
1.284 2.224 0.000
1.284 0.741 6.253
Co Cu H
2 1 1
Direct
0.722 0.722 0.833
0.278 0.278 0.167
0.500 0.500 0.500
0.000 0.000 0.000

CoCuH2 | Alexandria via LeMat-Bulk | PBE-GGA | relaxed; ΔE to the lowest computed polymorph = 72 meV/atom; calculated total energy = -4.32 eV per atom; symmetry = I-42d (122)
1.0
-3.744 0.845 -0.748
0.492 -1.109 -3.717
-2.628 -3.739 -1.289
H Co Cu
4 2 2
Direct
0.375 0.402 0.750
0.598 0.125 0.250
0.875 0.848 0.750
0.152 0.625 0.250
0.250 0.750 0.500
0.500 0.500 0.000
0.000 0.000 0.000
0.750 0.250 0.500

CoCuH2 | Alexandria via LeMat-Bulk | PBE-GGA | relaxed; ΔE to the lowest computed polymorph = 2 meV/atom; calculated total energy = -4.39 eV per atom; symmetry = P-1 (2)
1.0
-3.758 0.575 2.715
1.348 -4.579 -0.353
4.316 2.589 3.013
H Co Cu
8 4 4
Direct
0.059 0.243 0.129
0.941 0.757 0.871
0.719 0.404 0.379
0.281 0.596 0.621
0.160 0.976 0.379
0.570 0.886 0.129
0.430 0.114 0.871
0.840 0.024 0.621
0.313 0.063 0.126
0.687 0.937 0.874
0.061 0.811 0.622
0.939 0.189 0.378
0.435 0.685 0.371
0.565 0.315 0.629
0.188 0.438 0.876
0.812 0.562 0.124